Entry 1:
A geometry-optimized Tc2TeRh2 structure, computed with PBEsol.

POSCAR file:
```
Tc2TeRh2
1.0
3.498 0.000 0.000
0.000 3.498 0.000
-1.749 -1.749 6.698
Rh Tc Te
2 2 1
direct
0.602 0.602 0.204
0.398 0.398 0.796
0.250 0.750 0.500
0.750 0.250 0.500
0.000 0.000 0.000
```

Results
As for the raw formation energy: 1.22 eV/f.u.

Entry 2:
A geometry-optimized TaAsCl2 structure, computed with PBEsol.

POSCAR file:
```
TaAsCl2
1.0
3.323 0.000 0.000
1.662 2.878 0.000
1.662 0.959 8.110
As Cl Ta
1 2 1
direct
0.240 0.240 0.281
0.988 0.988 0.037
0.769 0.769 0.694
0.504 0.504 0.488
```

Results
As for the polymorph energy (0 for the lowest one): 0 meV/atom. As for the raw formation energy: -1.75 eV/f.u.

Entry 3:
A geometry-optimized LiZrPb2 structure, computed with PBEsol.

POSCAR file:
```
LiZrPb2
1.0
-2.686 -0.035 -1.698
1.552 -1.342 -2.426
-1.979 -8.254 3.301
Pb Zr Li
2 1 1
direct
0.000 0.000 0.745
0.000 0.000 0.255
0.500 0.500 0.000
0.500 0.500 0.500
```

Results
The energy of formation comes out at -0.24 eV/atom.

no.,size of the total moment (Bohr magnetons per cell),density of states at the Fermi level (states/eV per cell)
1,0.00,5.28
2,0.00,0.18
3,0.00,2.12